DFT (PBE-GGA) results for a geometry-optimized Na3VCo structure. Values from VASP.

Computed properties:
Its space group is No. 221. The energy relative to the elements is 1.6333 eV per atom.

Cell and atoms, written as Quantum ESPRESSO input:
```
&SYSTEM
  ibrav = 0, nat = 5, ntyp = 3
/
ATOMIC_SPECIES
Na 22.99 Na.upf
V 50.94 V.upf
Co 58.93 Co.upf
CELL_PARAMETERS angstrom
5.6574 0.0000 0.0000
0.0000 5.6574 0.0000
0.0000 0.0000 5.6574
ATOMIC_POSITIONS crystal
Na 0.0000 0.0000 0.5000
Na 0.0000 0.5000 0.0000
Na 0.5000 0.0000 0.0000
V 0.0000 0.0000 0.0000
Co 0.5000 0.5000 0.5000
```